# 1
A geometry-optimized YTmBi2 structure, computed with PBE.

POSCAR file:
```
YTmBi2
1.0
7.7186 0.0000 0.0000
0.0000 4.4628 0.0000
-2.5827 0.0000 7.2760
Y Tm Bi
2 2 4
Direct
0.0000 0.0000 0.0000 Y
0.5000 0.5000 0.0000 Y
0.0000 0.5000 0.5000 Tm
0.5000 0.0000 0.5000 Tm
0.2487 0.0000 0.7460 Bi
0.2513 0.5000 0.2540 Bi
0.7487 0.5000 0.7460 Bi
0.7513 0.0000 0.2540 Bi
```

Results
electronic total energy: -5.514 eV per atom
crystal system: monoclinic
energy of formation: -839 meV per atom

---

# 2
A geometry-optimized YTmBi structure, computed with PBE.

POSCAR file:
```
YTmBi
1.0
4.2981 0.0000 0.0000
0.0000 16.3301 0.0000
0.0000 0.0000 4.9345
Y Tm Bi
4 4 4
Direct
0.0000 0.0779 0.2500 Y
0.0000 0.9221 0.7500 Y
0.5000 0.4221 0.7500 Y
0.5000 0.5779 0.2500 Y
0.0000 0.2511 0.7500 Tm
0.0000 0.7489 0.2500 Tm
0.5000 0.2489 0.2500 Tm
0.5000 0.7511 0.7500 Tm
0.0000 0.4037 0.2500 Bi
0.0000 0.5963 0.7500 Bi
0.5000 0.0963 0.7500 Bi
0.5000 0.9037 0.2500 Bi
```

Results
electronic total energy: -5.459 eV per atom
crystal system: orthorhombic
energy of formation: -520 meV per atom

---

no.,total magnetic moment (μB per formula unit)
1,0.00
2,0.00